1.
Material: Ca2TlRe
Method: DFT, GGA-PBE
State: optimized geometry

a = 3.106 Å, b = 4.726 Å, c = 6.486 Å
α = 90.00°, β = 90.00°, γ = 90.00°
Atoms (fractional coordinates):
Re1 0.000 0.000 0.495
Tl1 0.500 0.500 0.742
Ca1 0.000 0.000 0.974
Ca2 0.500 0.500 0.288

Values from the calculation:
N(E_F): 2.94 states/eV/f.u.
magnetic moment: 0.00 μB per formula unit
calculated formation energy: 2.44 eV per formula unit



2.
Material: Ca2TlRe
Method: DFT, GGA-PBE
State: optimized geometry

a = 5.163 Å, b = 5.163 Å, c = 5.163 Å
α = 60.00°, β = 60.00°, γ = 60.00°
Atoms (fractional coordinates):
Re1 0.000 0.000 0.000
Tl1 0.500 0.500 0.500
Ca1 0.250 0.250 0.250
Ca2 0.750 0.750 0.750

Values from the calculation:
N(E_F): 4.17 states/eV/f.u.
magnetic moment: 0.00 μB per formula unit
calculated formation energy: 2.37 eV per formula unit



3.
Material: CaTlRe2
Method: DFT, GGA-PBE
State: optimized geometry

a = 2.790 Å, b = 2.790 Å, c = 10.047 Å
α = 90.00°, β = 90.00°, γ = 90.00°
Atoms (fractional coordinates):
Re1 0.000 0.000 0.999
Re2 0.000 0.000 0.501
Tl1 0.500 0.500 0.250
Ca1 0.500 0.500 0.750

Values from the calculation:
N(E_F): 3.86 states/eV/f.u.
magnetic moment: 0.00 μB per formula unit
calculated formation energy: 4.41 eV per formula unit



4.
Material: CaTlRe
Method: DFT, GGA-PBE
State: optimized geometry

a = 4.930 Å, b = 4.930 Å, c = 4.930 Å
α = 60.00°, β = 60.00°, γ = 60.00°
Site moments in Bohr magnetons follow the coordinates.
Atoms (fractional coordinates):
Re1 0.000 0.000 0.000  2.34
Tl1 0.500 0.500 0.500  -0.08
Ca1 0.750 0.750 0.750  0.01

Values from the calculation:
N(E_F): 3.54 states/eV/f.u.
magnetic moment: 2.53 μB per formula unit
calculated formation energy: 4.64 eV per formula unit



5.
Material: CaTlRe2
Method: DFT, GGA-PBE
State: optimized geometry

a = 4.811 Å, b = 4.811 Å, c = 4.811 Å
α = 60.00°, β = 60.00°, γ = 60.00°
Site moments in Bohr magnetons follow the coordinates.
Atoms (fractional coordinates):
Re1 0.250 0.250 0.250  1.67
Re2 0.750 0.750 0.750  1.67
Tl1 0.500 0.500 0.500  -0.01
Ca1 0.000 0.000 0.000  0.12

Values from the calculation:
N(E_F): 3.95 states/eV/f.u.
magnetic moment: 4.12 μB per formula unit
calculated formation energy: 5.56 eV per formula unit



6.
Material: Ca2TlRe
Method: DFT, GGA-PBE
State: optimized geometry

a = 6.046 Å, b = 6.046 Å, c = 5.630 Å
α = 75.38°, β = 75.38°, γ = 29.73°
Atoms (fractional coordinates):
Re1 0.529 0.529 0.537
Tl1 0.213 0.213 0.225
Ca1 0.973 0.973 0.056
Ca2 0.785 0.785 0.682

Values from the calculation:
N(E_F): 2.01 states/eV/f.u.
magnetic moment: 0.00 μB per formula unit
calculated formation energy: 1.79 eV per formula unit



7.
Material: Ca2TlRe2
Method: DFT, GGA-PBE
State: optimized geometry

a = 3.561 Å, b = 3.561 Å, c = 10.387 Å
α = 80.13°, β = 80.13°, γ = 90.00°
Atoms (fractional coordinates):
Re1 0.750 0.250 0.500
Re2 0.250 0.750 0.500
Tl1 0.000 0.000 0.000
Ca1 0.381 0.381 0.237
Ca2 0.619 0.619 0.763

Values from the calculation:
N(E_F): 4.53 states/eV/f.u.
magnetic moment: 0.00 μB per formula unit
calculated formation energy: 1.37 eV per formula unit



8.
Material: Ca2TlRe
Method: DFT, GGA-PBE
State: optimized geometry

a = 5.574 Å, b = 5.574 Å, c = 5.574 Å
α = 132.05°, β = 132.05°, γ = 70.15°
Atoms (fractional coordinates):
Re1 0.500 0.500 0.000
Tl1 0.750 0.250 0.500
Ca1 0.000 0.000 0.000
Ca2 0.250 0.750 0.500

Values from the calculation:
N(E_F): 2.18 states/eV/f.u.
magnetic moment: 0.00 μB per formula unit
calculated formation energy: 2.21 eV per formula unit